The following is a PBE calculation of a relaxed Nd8TcPd2 crystal, from the Alexandria database.

Properties
The total energy comes out at -121.55 eV per cell. For the size of the total moment, the calculation gives 0.00 μB/cell.

a = 8.4571 Å, b = 13.5164 Å, c = 6.1203 Å
α = 90.00°, β = 111.36°, γ = 90.00°
Closest atoms and distances in Å follow each position.
Space group Cm (No. 8)
Inequivalent atoms, fractional coordinates:
Nd  0.0000  0.0000  0.0000  1 Tc 2.95, 2 Pd 3.27
Nd  0.0686  0.3778  0.7645  2 Pd 2.90-2.94
Nd  0.1436  0.1230  0.5582  2 Pd 2.91-2.98
Nd  0.2197  0.5000  0.3519  1 Tc 2.86
Nd  0.3523  0.2057  0.1706  1 Tc 2.85
Tc  0.3666  0.0000  0.2814  4 Nd 2.85-2.95
Pd  0.3612  0.3032  0.6766  4 Nd 2.90-2.98